1.
VASP calculation (PBE-GGA) on an optimized crystal structure of Nd2Mg2Ni15.

Cell and atoms, written as CIF:
```
data_Nd2Mg2Ni15
_chemical_formula_sum 'Nd6 Mg6 Ni45'
_cell_length_a 8.4503
_cell_length_b 8.4503
_cell_length_c 12.3939
_cell_angle_alpha 90.00
_cell_angle_beta 90.00
_cell_angle_gamma 120.00
_symmetry_space_group_name_H-M 'R -3 m'
_symmetry_Int_Tables_number 166
_symmetry_space_group_name_Hall '-R 3 2"'
loop_
_atom_site_label
_atom_site_fract_x
_atom_site_fract_y
_atom_site_fract_z
Nd1 0.0000 0.0000 0.1499
Mg1 0.0000 0.0000 0.3976
Ni1 0.0000 0.2985 0.5000
Ni2 0.0000 0.5000 0.0000
Ni3 0.0005 0.5003 0.6564
```

Values from the calculation:
- N(E_F): 23.5 states/eV/f.u.
- E_form: -0.205 eV/atom
- Total energy: -5.44 eV/atom


2.
VASP calculation (PBE-GGA) on an optimized crystal structure of Nd6MgNi.

Cell and atoms, written as CIF:
```
data_Nd6MgNi
_chemical_formula_sum 'Nd6 Mg1 Ni1'
_cell_length_a 6.880
_cell_length_b 6.908
_cell_length_c 7.647
_cell_angle_alpha 90.40
_cell_angle_beta 116.16
_cell_angle_gamma 119.58
_symmetry_space_group_name_H-M 'P -1'
_symmetry_Int_Tables_number 2
loop_
_symmetry_equiv_pos_as_xyz
'x,y,z'
'-x,-y,-z'
loop_
_atom_site_label
_atom_site_fract_x
_atom_site_fract_y
_atom_site_fract_z
Nd1 0.059 0.079 0.249
Nd2 0.267 0.689 0.248
Nd3 0.325 0.517 0.752
Mg1 0.500 0.000 0.000
Ni1 0.500 0.500 0.500
```

Values from the calculation:
- N(E_F): 12.0 states/eV/f.u.
- E_form: 0.164 eV/atom
- Total energy: -4.33 eV/atom


3.
VASP calculation (PBE-GGA) on an optimized crystal structure of Nd2MgNi.

Cell and atoms, written as CIF:
```
data_Nd2MgNi
_chemical_formula_sum 'Nd6 Mg3 Ni3'
_cell_length_a 3.7107
_cell_length_b 3.7107
_cell_length_c 31.1377
_cell_angle_alpha 90.00
_cell_angle_beta 90.00
_cell_angle_gamma 120.00
_symmetry_space_group_name_H-M 'R -3 m'
_symmetry_Int_Tables_number 166
_symmetry_space_group_name_Hall '-R 3 2"'
loop_
_atom_site_label
_atom_site_fract_x
_atom_site_fract_y
_atom_site_fract_z
Nd1 0.0000 0.0000 0.1108
Mg1 0.0000 0.0000 0.0000
Ni1 0.0000 0.0000 0.5000
```

Values from the calculation:
- N(E_F): 3.8 states/eV/f.u.
- Energy relative to the lowest polymorph listed for this composition: 292 meV/atom
- E_form: 0.133 eV/atom
- Total energy: -4.10 eV/atom


4.
VASP calculation (PBE-GGA) on an optimized crystal structure of NdMg4Ni2.

Cell and atoms, written as CIF:
```
data_NdMg4Ni2
_chemical_formula_sum 'Nd2 Mg8 Ni4'
_cell_length_a 8.522
_cell_length_b 8.522
_cell_length_c 3.860
_cell_angle_alpha 90.00
_cell_angle_beta 90.00
_cell_angle_gamma 90.00
_symmetry_space_group_name_H-M 'P 42/m n m'
_symmetry_Int_Tables_number 136
_symmetry_space_group_name_Hall '-P 4n 2n'
loop_
_atom_site_label
_atom_site_fract_x
_atom_site_fract_y
_atom_site_fract_z
Nd1 0.000 0.000 0.000
Mg1 0.096 0.333 0.500
Ni1 0.186 0.814 0.500
```

Values from the calculation:
- N(E_F): 3.5 states/eV/f.u.
- Energy relative to the lowest polymorph listed for this composition: 0 meV/atom
- E_form: -0.159 eV/atom
- Total energy: -3.40 eV/atom


5.
VASP calculation (PBE-GGA) on an optimized crystal structure of NdMg2Ni2.

Cell and atoms, written as CIF:
```
data_NdMg2Ni2
_chemical_formula_sum 'Nd2 Mg4 Ni4'
_cell_length_a 10.090
_cell_length_b 3.961
_cell_length_c 5.200
_cell_angle_alpha 90.00
_cell_angle_beta 104.01
_cell_angle_gamma 90.00
_symmetry_space_group_name_H-M 'C 1 2/m 1'
_symmetry_Int_Tables_number 12
loop_
_symmetry_equiv_pos_as_xyz
'x,y,z'
'-x,-y,-z'
'-x,y,-z'
'x,-y,z'
'x+1/2,y+1/2,z'
'-x+1/2,-y+1/2,-z'
'-x+1/2,y+1/2,-z'
'x+1/2,-y+1/2,z'
loop_
_atom_site_label
_atom_site_fract_x
_atom_site_fract_y
_atom_site_fract_z
Nd1 0.000 0.000 0.000
Mg1 0.157 0.500 0.577
Ni1 0.221 0.500 0.105
```

Values from the calculation:
- N(E_F): 3.4 states/eV/f.u.
- E_form: -0.231 eV/atom
- Total energy: -4.13 eV/atom


6.
VASP calculation (PBE-GGA) on an optimized crystal structure of NdMg3Ni.

Cell and atoms, written as CIF:
```
data_NdMg3Ni
_chemical_formula_sum 'Nd4 Mg12 Ni4'
_cell_length_a 8.275
_cell_length_b 12.321
_cell_length_c 4.371
_cell_angle_alpha 90.00
_cell_angle_beta 90.00
_cell_angle_gamma 90.00
_symmetry_space_group_name_H-M 'C m m m'
_symmetry_Int_Tables_number 65
_symmetry_space_group_name_Hall '-C 2 2'
loop_
_atom_site_label
_atom_site_fract_x
_atom_site_fract_y
_atom_site_fract_z
Nd1 0.000 0.202 0.000
Mg1 0.000 0.000 0.500
Mg2 0.000 0.500 0.000
Mg3 0.195 0.376 0.500
Ni1 0.177 0.000 0.000
```

Values from the calculation:
- N(E_F): 4.0 states/eV/f.u.
- Energy relative to the lowest polymorph listed for this composition: 0 meV/atom
- E_form: -0.175 eV/atom
- Total energy: -3.24 eV/atom


7.
VASP calculation (PBE-GGA) on an optimized crystal structure of NdMg9Ni3.

Cell and atoms, written as CIF:
```
data_NdMg9Ni3
_chemical_formula_sum 'Nd2 Mg18 Ni6'
_cell_length_a 5.448
_cell_length_b 14.035
_cell_length_c 7.024
_cell_angle_alpha 90.00
_cell_angle_beta 110.14
_cell_angle_gamma 90.00
_symmetry_space_group_name_H-M 'C 1 2/m 1'
_symmetry_Int_Tables_number 12
loop_
_symmetry_equiv_pos_as_xyz
'x,y,z'
'-x,-y,-z'
'-x,y,-z'
'x,-y,z'
'x+1/2,y+1/2,z'
'-x+1/2,-y+1/2,-z'
'-x+1/2,y+1/2,-z'
'x+1/2,-y+1/2,z'
loop_
_atom_site_label
_atom_site_fract_x
_atom_site_fract_y
_atom_site_fract_z
Nd1 0.000 0.000 0.000
Mg1 0.000 0.000 0.500
Mg2 0.086 0.387 0.215
Mg3 0.149 0.180 0.322
Ni1 0.000 0.500 0.500
Ni2 0.250 0.250 0.000
```

Values from the calculation:
- N(E_F): 7.8 states/eV/f.u.
- E_form: -0.111 eV/atom
- Total energy: -2.92 eV/atom


8.
VASP calculation (PBE-GGA) on an optimized crystal structure of Nd2MgNi9.

Cell and atoms, written as CIF:
```
data_Nd2MgNi9
_chemical_formula_sum 'Nd6 Mg3 Ni27'
_cell_length_a 4.9611
_cell_length_b 4.9611
_cell_length_c 24.6175
_cell_angle_alpha 90.00
_cell_angle_beta 90.00
_cell_angle_gamma 120.00
_symmetry_space_group_name_H-M 'R -3 m'
_symmetry_Int_Tables_number 166
_symmetry_space_group_name_Hall '-R 3 2"'
loop_
_atom_site_label
_atom_site_fract_x
_atom_site_fract_y
_atom_site_fract_z
Nd1 0.0000 0.0000 0.1353
Mg1 0.0000 0.0000 0.0000
Ni1 0.0000 0.0000 0.3327
Ni2 0.0000 0.0000 0.5000
Ni3 0.0005 0.5003 0.0793
```

Values from the calculation:
- N(E_F): 11.6 states/eV/f.u.
- E_form: -0.211 eV/atom
- Total energy: -5.47 eV/atom